First-principles (GGA-PBEsol) data for a geometry-optimized BaCaZr structure, as listed in Alexandria.

abc: 5.6595 5.6595 5.6595
angles: 60.00 60.00 60.00
Fractional positions:
Ba  0.0000  0.0000  0.0000
Ca  0.5000  0.5000  0.5000
Zr  0.7500  0.7500  0.7500

Values from the calculation:
**Energy**: -0.24850 Ry per atom
**Space-group type**: No. 216
**E_form**: 1.08 eV per atom
**ΔE to the lowest computed polymorph**: 0.629 eV per atom